Record 1
Here is a geometry-optimized Nd4YHg structure from Alexandria via LeMat-Bulk. Energies are from PBE.

It has space group C2/c (No. 15), with a = 9.0180 Å, b = 14.2111 Å, c = 6.5202 Å, α = 90.00°, β = 109.06° and γ = 90.00°. The distinct sites, in fractional coordinates, are Nd at (0.0995, 0.1886, 0.0475), Nd at (0.2172, 0.3826, 0.3764), Y at (0.0000, 0.4100, 0.7500) and Hg at (0.0000, 0.0015, 0.7500).

The value obtained for the formation energy is -54 meV per atom. The total magnetization is 0.0 μB per cell. The value obtained for the energy above the lowest structure with this stoichiometry is 93 meV per atom.

=====

Record 2
Here is a geometry-optimized SiPRu structure from Alexandria via LeMat-Bulk. Energies are from PBE.

It has space group P3m1 (No. 156), with a = 3.0181 Å, b = 3.0181 Å, c = 5.2467 Å, α = 90.00°, β = 90.00° and γ = 120.00°. The distinct sites, in fractional coordinates, are Si at (0.0000, 0.0000, 0.0000), P at (0.6667, 0.3333, 0.6589) and Ru at (0.3333, 0.6667, 0.3398).

The total magnetization is 0.0 μB per cell. The raw formation energy is -67 kJ/mol of formula units.